Here is crystalline LaInSe2 at its relaxed geometry from Alexandria via LeMat-Bulk. Energies are from PBEsol.

Calculated values
The calculation puts the formation energy from raw total energies at -0.94 eV/atom. The total magnetization comes out at 0.00 μB/f.u. Its raw total energy is -0.36398 Ry per atom.

```
LaInSe2
1.0
-4.070 1.030 -1.216
-3.386 -2.306 1.525
-3.051 4.311 6.006
In La Se
1 1 2
direct
0.491 0.491 0.528
0.254 0.254 0.238
0.980 0.980 0.061
0.776 0.776 0.673
```